Compound: PrScPa
Source: Alexandria via LeMat-Bulk
Functional: PBE
Structure: optimized geometry

a = 3.376 Å, b = 3.376 Å, c = 8.420 Å
α = 90.00°, β = 90.00°, γ = 120.00°
Sites, in units of the cell vectors:
Pr1 0.000 0.000 0.000
Sc1 0.333 0.667 0.645
Pa1 0.667 0.333 0.339

Values from the calculation:
- Energy above the most stable polymorph in this dataset: 0.0000 eV/atom